# 1
First-principles (PBE) data for a relaxed PmSe2 crystal, as listed in Alexandria.

Lattice parameters (Å, degrees): 8.511 4.163 8.379 90.00 90.14 90.00
Space group P2_1/c (No. 14)
Inequivalent atoms, fractional coordinates:
Pm (0.226, 0.225, 0.374) x4
Se (0.131, 0.744, 0.125) x4
Se (0.498, 0.691, 0.380) x4

Distance to the lowest polymorph of the same formula ... 0.000 eV per atom
Formation energy (no corrections) ... -1628 meV per atom
M_tot ... 0.00 μB per formula unit



# 2
First-principles (PBE) data for a relaxed Pm6Se5 crystal, as listed in Alexandria.

Lattice parameters (Å, degrees): 7.236 12.427 7.219 90.00 109.37 90.00
Space group C2/m (No. 12)
Inequivalent atoms, fractional coordinates:
Pm (0.249, 0.000, 0.256) x4
Pm (0.250, 0.168, 0.751) x8
Se (0.000, 0.000, 0.500) x2
Se (0.000, 0.165, 0.000) x4
Se (0.000, 0.331, 0.500) x4

Formation energy (no corrections) ... -1653 meV per atom
M_tot ... 0.00 μB per formula unit



# 3
First-principles (PBE) data for a relaxed PmSe2 crystal, as listed in Alexandria.

Lattice parameters (Å, degrees): 4.139 4.139 8.571 90.00 90.00 90.00
Space group P4/nmm (No. 129, origin choice 2)
Inequivalent atoms, fractional coordinates:
Pm (0.250, 0.250, 0.226) x2
Se (0.250, 0.250, 0.869) x2
Se (0.250, 0.750, 0.500) x2

Distance to the lowest polymorph of the same formula ... 0.014 eV per atom
Formation energy (no corrections) ... -1614 meV per atom
M_tot ... 0.00 μB per formula unit



# 4
First-principles (PBE) data for a relaxed Pm4Se3 crystal, as listed in Alexandria.

Lattice parameters (Å, degrees): 4.1054 4.1054 40.7573 90.00 90.00 120.00
Space group R-3m (No. 166, hexagonal axes)
Inequivalent atoms, fractional coordinates:
Pm (0.0000, 0.0000, 0.1214) x6
Pm (0.0000, 0.0000, 0.3706) x6
Se (0.0000, 0.0000, 0.2535) x6
Se (0.0000, 0.0000, 0.5000) x3

Formation energy (no corrections) ... -1530 meV per atom
M_tot ... 0.00 μB per formula unit



# 5
First-principles (PBE) data for a relaxed Pm2SiSe6 crystal, as listed in Alexandria.

Lattice parameters (Å, degrees): 6.922 7.659 10.849 90.00 127.16 90.00
Space group P2_1/c (No. 14)
Inequivalent atoms, fractional coordinates:
Pm (0.219, 0.108, 0.249) x4
Si (0.500, 0.000, 0.000) x2
Se (0.142, 0.169, 0.941) x4
Se (0.276, 0.713, 0.944) x4
Se (0.375, 0.033, 0.742) x4

Formation energy (no corrections) ... -997 meV per atom
M_tot ... 0.00 μB per formula unit



# 6
First-principles (PBE) data for a relaxed PmSiSe4 crystal, as listed in Alexandria.

Lattice parameters (Å, degrees): 9.601 9.601 7.775 90.00 90.00 90.00
Space group I4_1/amd (No. 141, origin choice 2)
Inequivalent atoms, fractional coordinates:
Pm (0.000, 0.250, 0.375) x4
Si (0.000, 0.250, 0.875) x4
Se (0.000, 0.068, 0.685) x16

Formation energy (no corrections) ... -835 meV per atom
M_tot ... 0.00 μB per formula unit



> Look up the formation energy (no corrections) of the fifth one.

-997 meV per atom